(1)
Below is an optimized crystal structure of Ba6Ca, with properties calculated at the PBE level.

Energy of formation from the pure elements   6.04 eV/f.u.
Calculated volume   60.53 A^3/atom
E above lowest polymorph   5.918 eV/f.u.
Total DFT energy (no corrections)   -1.071 eV per atom

Cell lengths 8.1955, 8.1955, 8.1955 Å; angles 109.47, 109.47, 109.47 degrees
Fractional positions:
Ba (0.2500, 0.5000, 0.7500)
Ba (0.2500, 0.7500, 0.5000)
Ba (0.5000, 0.2500, 0.7500)
Ba (0.5000, 0.7500, 0.2500)
Ba (0.7500, 0.2500, 0.5000)
Ba (0.7500, 0.5000, 0.2500)
Ca (0.0000, 0.0000, 0.0000)

(2)
Below is an optimized crystal structure of BaCa, with properties calculated at the PBE level.

Energy of formation from the pure elements   0.04 eV/f.u.
Calculated volume   52.13 A^3/atom
E above lowest polymorph   0.000 eV/f.u.
Total DFT energy (no corrections)   -1.940 eV per atom

Cell lengths 4.7428, 4.7428, 9.2707 Å; angles 90.00, 90.00, 90.00 degrees
Fractional positions:
Ba (0.2500, 0.2500, 0.1490)
Ba (0.7500, 0.7500, 0.8510)
Ca (0.2500, 0.2500, 0.6019)
Ca (0.7500, 0.7500, 0.3981)

(3)
Below is an optimized crystal structure of BaCa2, with properties calculated at the PBE level.

Energy of formation from the pure elements   0.09 eV/f.u.
Calculated volume   48.70 A^3/atom
E above lowest polymorph   0.032 eV/f.u.
Total DFT energy (no corrections)   -1.944 eV per atom

Cell lengths 7.1483, 7.1483, 7.1483 Å; angles 146.01, 133.80, 58.58 degrees
Fractional positions:
Ba (0.0000, 0.0000, 0.0000)
Ca (0.3266, 0.3266, 0.0000)
Ca (0.6734, 0.6734, 0.0000)

(4)
Below is an optimized crystal structure of BaCa, with properties calculated at the PBE level.

Energy of formation from the pure elements   0.33 eV/f.u.
Calculated volume   55.36 A^3/atom
E above lowest polymorph   0.288 eV/f.u.
Total DFT energy (no corrections)   -1.796 eV per atom

Cell lengths 12.2395, 11.1634, 6.9789 Å; angles 81.32, 64.37, 34.31 degrees
Fractional positions:
Ba (0.0388, 0.7112, 0.0388)
Ba (0.2888, 0.9612, 0.2888)
Ba (0.7112, 0.0388, 0.7112)
Ba (0.9612, 0.2888, 0.9612)
Ca (0.2902, 0.2902, 0.4598)
Ca (0.4598, 0.4598, 0.2902)
Ca (0.5402, 0.5402, 0.7098)
Ca (0.7098, 0.7098, 0.5402)

(5)
Below is an optimized crystal structure of BaCa, with properties calculated at the PBE level.

Energy of formation from the pure elements   0.08 eV/f.u.
Calculated volume   51.42 A^3/atom
E above lowest polymorph   0.037 eV/f.u.
Total DFT energy (no corrections)   -1.922 eV per atom

Cell lengths 4.0658, 4.0658, 6.4437 Å; angles 90.00, 90.00, 105.11 degrees
Fractional positions:
Ba (0.0000, 0.0000, 0.0000)
Ca (0.5000, 0.5000, 0.5000)

(6)
Below is an optimized crystal structure of Ba5Ca, with properties calculated at the PBE level.

Energy of formation from the pure elements   0.11 eV/f.u.
Calculated volume   59.37 A^3/atom
E above lowest polymorph   0.028 eV/f.u.
Total DFT energy (no corrections)   -1.917 eV per atom

Cell lengths 8.2211, 8.2211, 6.9149 Å; angles 90.00, 90.00, 130.34 degrees
Fractional positions:
Ba (0.0000, 0.0000, 0.0000)
Ba (0.1602, 0.8398, 0.5000)
Ba (0.3385, 0.6615, 0.0000)
Ba (0.6615, 0.3385, 0.0000)
Ba (0.8398, 0.1602, 0.5000)
Ca (0.5000, 0.5000, 0.5000)

(7)
Below is an optimized crystal structure of BaCa, with properties calculated at the PBE level.

Energy of formation from the pure elements   0.07 eV/f.u.
Calculated volume   52.57 A^3/atom
E above lowest polymorph   0.023 eV/f.u.
Total DFT energy (no corrections)   -1.929 eV per atom

Cell lengths 4.7199, 4.7199, 4.7199 Å; angles 90.00, 90.00, 90.00 degrees
Fractional positions:
Ba (0.0000, 0.0000, 0.0000)
Ca (0.5000, 0.5000, 0.5000)

(8)
Below is an optimized crystal structure of Ba5Ca, with properties calculated at the PBE level.

Energy of formation from the pure elements   0.09 eV/f.u.
Calculated volume   59.54 A^3/atom
E above lowest polymorph   0.000 eV/f.u.
Total DFT energy (no corrections)   -1.922 eV per atom

Cell lengths 4.9605, 4.9605, 14.5173 Å; angles 90.00, 90.00, 90.00 degrees
Fractional positions:
Ba (0.0000, 0.0000, 0.0000)
Ba (0.0000, 0.0000, 0.3488)
Ba (0.0000, 0.0000, 0.6512)
Ba (0.5000, 0.5000, 0.1737)
Ba (0.5000, 0.5000, 0.8263)
Ca (0.5000, 0.5000, 0.5000)

(9)
Below is an optimized crystal structure of Ba5Ca, with properties calculated at the PBE level.

Energy of formation from the pure elements   0.11 eV/f.u.
Calculated volume   59.32 A^3/atom
E above lowest polymorph   0.027 eV/f.u.
Total DFT energy (no corrections)   -1.917 eV per atom

Cell lengths 6.9287, 4.9627, 10.9123 Å; angles 90.00, 108.45, 90.00 degrees
Fractional positions:
Ba (0.0000, 0.0000, 0.0000)
Ba (0.1682, 0.5000, 0.3348)
Ba (0.3384, 0.0000, 0.6778)
Ba (0.6616, 0.0000, 0.3222)
Ba (0.8318, 0.5000, 0.6652)
Ca (0.5000, 0.5000, 0.0000)

(10)
Below is an optimized crystal structure of BaCa4, with properties calculated at the PBE level.

Energy of formation from the pure elements   0.22 eV/f.u.
Calculated volume   46.47 A^3/atom
E above lowest polymorph   0.087 eV/f.u.
Total DFT energy (no corrections)   -1.941 eV per atom

Cell lengths 3.9282, 6.4917, 9.8620 Å; angles 70.82, 78.67, 89.93 degrees
Fractional positions:
Ba (0.0000, 0.0000, 0.0000)
Ca (0.2881, 0.7882, 0.4235)
Ca (0.3953, 0.3969, 0.2056)
Ca (0.6047, 0.6031, 0.7944)
Ca (0.7119, 0.2118, 0.5765)

(11)
Below is an optimized crystal structure of Ba7Ca5, with properties calculated at the PBE level.

Energy of formation from the pure elements   0.40 eV/f.u.
Calculated volume   53.90 A^3/atom
E above lowest polymorph   0.000 eV/f.u.
Total DFT energy (no corrections)   -1.922 eV per atom

Cell lengths 14.9794, 14.9794, 4.8215 Å; angles 90.00, 90.00, 143.29 degrees
Fractional positions:
Ba (0.0000, 0.0000, 0.0000)
Ba (0.1733, 0.8267, 0.0000)
Ba (0.1790, 0.3553, 0.5000)
Ba (0.3553, 0.1790, 0.5000)
Ba (0.6447, 0.8210, 0.5000)
Ba (0.8210, 0.6447, 0.5000)
Ba (0.8267, 0.1733, 0.0000)
Ca (0.0000, 0.5000, 0.5000)
Ca (0.3214, 0.6786, 0.0000)
Ca (0.5000, 0.0000, 0.5000)
Ca (0.5000, 0.5000, 0.0000)
Ca (0.6786, 0.3214, 0.0000)

(12)
Below is an optimized crystal structure of BaCa, with properties calculated at the PBE level.

Energy of formation from the pure elements   0.15 eV/f.u.
Calculated volume   51.25 A^3/atom
E above lowest polymorph   0.103 eV/f.u.
Total DFT energy (no corrections)   -1.889 eV per atom

Cell lengths 8.0833, 8.0833, 6.5763 Å; angles 90.00, 90.00, 151.50 degrees
Fractional positions:
Ba (0.0721, 0.9279, 0.7500)
Ba (0.9279, 0.0721, 0.2500)
Ca (0.3202, 0.6798, 0.7500)
Ca (0.6798, 0.3202, 0.2500)

- Which of these has the lowest calculated volume?
  BaCa4

- Which of these has the lowest total DFT energy (no corrections)?
  BaCa2